The following is a PBE calculation of a relaxed structure of Nd4GePtBr2, from Alexandria.

Magnetic moment   0.0 μB per formula unit
N(E_F)   5.58 states/eV/cell
Crystal system   monoclinic
DFT total energy   -42.31 eV for the cell shown
SG   P2/m (10)

a = 4.193 Å, b = 7.706 Å, c = 7.672 Å
α = 72.22°, β = 90.00°, γ = 90.00°
Positions (direct):
Nd 0.000 0.702 0.777
Nd 0.000 0.298 0.223
Nd 0.500 0.716 0.261
Nd 0.500 0.284 0.739
Ge 0.000 0.500 0.500
Pt 0.500 0.500 0.000
Br 0.000 0.000 0.000
Br 0.500 0.000 0.500